The following is a DFT calculation (PBE) of a geometry-optimized TbMnSi2Mo structure.

Structure (extended XYZ):
```
5
Lattice="-0.5785 -3.3092 2.0800 3.0927 0.8981 2.2891 -4.5615 3.9199 1.2150" Properties=species:S:1:pos:R:3 pbc="T T T"
Tb 0.0000 0.0000 0.0000
Mn -1.9414 -0.2974 2.7397
Si 0.5210 -0.6008 2.9419
Si -2.5682 2.1097 2.6422
Mo -0.1058 1.8063 2.8443
```

Properties
The total energy is -7.63 eV/atom. Its uncorrected formation energy is -533 meV per atom. The calculation puts the volume at 17.06 A^3/atom. The value obtained for the mass density is 7.126 g/cm3.